A plane-wave DFT calculation with PBE was carried out for a geometry-optimized LaTbZr structure.

a b c (Å): 7.4564 7.4564 7.4564
angles (deg): 90.00 90.00 90.00
Space group F-43m (No. 216)
Unique sites:
La1 0.0000 0.0000 0.0000 x4
Tb1 0.0000 0.0000 0.5000 x4
Zr1 0.2500 0.2500 0.2500 x4

Summary:
DFT total energy: -63.645 eV for the cell shown
DFT formation energy: 0.729 eV per atom
Crystal system: cubic
Relative energy among the computed polymorphs: 0.0 meV/atom
V: 34.55 Å³/atom